No. 1
First-principles (PBE) data for a geometry-optimized LiPtCl structure, as listed in Alexandria via LeMat-Bulk.

Cell: 4.2591 4.2591 4.2591 Å, 60.00 60.00 60.00°
Fractional positions:
1 Li 0.2500 0.2500 0.2500
2 Pt 0.5000 0.5000 0.5000
3 Cl 0.7500 0.7500 0.7500

Output
Distance to the lowest polymorph of the same formula, meV per atom: 804
Formation energy from raw total energies, eV/f.u.: -0.07
Uncorrected energy, eV per atom: -3.289

=====

No. 2
First-principles (PBE) data for a geometry-optimized Tb2LuZr structure, as listed in Alexandria via LeMat-Bulk.

Cell: 5.4720 5.4720 5.4720 Å, 60.00 60.00 60.00°
Each line ends with the local moment (μB).
Fractional positions:
1 Lu 0.0000 0.0000 0.0000  -0.13
2 Tb 0.2500 0.2500 0.2500  -0.34
3 Tb 0.7500 0.7500 0.7500  -0.34
4 Zr 0.5000 0.5000 0.5000  -0.86

Output
Distance to the lowest polymorph of the same formula, meV per atom: 114
Uncorrected energy, eV per atom: -5.381
ΔE_f, meV per atom: 201

=====

> The highest distance to the lowest polymorph of the same formula belongs to which entry?

LiPtCl

=====

> What is the formula in the second record?

Tb2LuZr

=====

> Among the records above, which one has the lowest uncorrected energy?

Tb2LuZr

=====

Please write out number 1 again, unchanged.
First-principles (PBE) data for a geometry-optimized LiPtCl structure, as listed in Alexandria via LeMat-Bulk.

Cell: 4.2591 4.2591 4.2591 Å, 60.00 60.00 60.00°
Fractional positions:
1 Li 0.2500 0.2500 0.2500
2 Pt 0.5000 0.5000 0.5000
3 Cl 0.7500 0.7500 0.7500

Output
Distance to the lowest polymorph of the same formula, meV per atom: 804
Formation energy from raw total energies, eV/f.u.: -0.07
Uncorrected energy, eV per atom: -3.289